No. 1
## Ac6NdEr (GGA-PBE)

Data for a relaxed Ac6NdEr crystal.

Cell: 17.552 6.375 6.487 Å, 90.00 111.67 90.00°
Space group C2/m (No. 12)
One atom of each set of equivalent atoms:
Ac (0.119, 0.000, 0.088)
Ac (0.119, 0.500, 0.653)
Ac (0.249, 0.500, 0.293)
Nd (0.000, 0.000, 0.500)
Er (0.000, 0.500, 0.000)

Summary:
Energy ... -66.16 eV/cell
Energy relative to the elements ... 0.1124 eV per atom

No. 2
## K2LiLaS (GGA-PBE)

Data for a relaxed K2LiLaS crystal.

Cell: 7.906 7.906 5.269 Å, 90.00 90.00 90.00°
Space group P4/mmm (No. 123)
One atom of each set of equivalent atoms:
K (0.000, 0.500, 0.000)
Li (0.000, 0.000, 0.500)
La (0.500, 0.500, 0.000)
S (0.500, 0.500, 0.500)

Summary:
Energy ... -13.31 eV/cell
Formation energy (no corrections) ... -0.028 eV/atom

No. 3
## Li2Bi2SbO6 (GGA-PBE)

Data for a relaxed Li2Bi2SbO6 crystal.

Cell: 5.8962 5.8962 15.4689 Å, 90.00 90.00 120.00°
Space group R-3m (No. 166, hexagonal axes)
One atom of each set of equivalent atoms:
Li (0.0000, 0.0000, 0.0889)
Bi (0.0000, 0.0000, 0.3014)
Sb (0.0000, 0.0000, 0.5000)
O (0.0327, 0.5164, 0.2526)

Summary:
Energy ... -178.73 eV/cell
Formation energy (no corrections) ... -1.283 eV/atom

Number 1: calculated volume 42.16 A^3/atom. Number 2: calculated volume 65.87 A^3/atom. Number 3: calculated volume 14.11 A^3/atom.